# TlCrCdH2 (PBE-GGA, optimized geometry)
# * spin magnetization: 4.23 μB/f.u.
# * energy: -3.189 eV per atom
# * space group: P4/mmm, No. 123
data_TlCrCdH2
_chemical_formula_sum 'Tl1 Cr1 Cd1 H2'
_cell_length_a 3.8735
_cell_length_b 6.3513
_cell_length_c 3.8735
_cell_angle_alpha 90.00
_cell_angle_beta 90.00
_cell_angle_gamma 90.00
_symmetry_space_group_name_H-M 'P 1'
_symmetry_Int_Tables_number 1
loop_
_symmetry_equiv_pos_as_xyz
'x,y,z'
loop_
_atom_site_label
_atom_site_type_symbol
_atom_site_fract_x
_atom_site_fract_y
_atom_site_fract_z
Cr1 Cr 0.5000 0.5000 0.5000
Tl1 Tl 0.0000 0.5000 0.0000
H1 H 0.0000 0.0000 0.5000
H2 H 0.5000 0.0000 0.0000
Cd1 Cd 0.0000 0.0000 0.0000

***

# Hf2ZnH (PBE-GGA, optimized geometry)
# * spin magnetization: 0.00 μB/f.u.
# * energy: -6.257 eV per atom
# * space group: R-3m, No. 166
data_Hf2ZnH
_chemical_formula_sum 'Hf2 Zn1 H1'
_cell_length_a 3.2048
_cell_length_b 3.2048
_cell_length_c 7.2471
_cell_angle_alpha 77.23
_cell_angle_beta 77.23
_cell_angle_gamma 60.00
_symmetry_space_group_name_H-M 'P 1'
_symmetry_Int_Tables_number 1
loop_
_symmetry_equiv_pos_as_xyz
'x,y,z'
loop_
_atom_site_label
_atom_site_type_symbol
_atom_site_fract_x
_atom_site_fract_y
_atom_site_fract_z
H1 H 0.0000 0.0000 0.0000
Zn1 Zn 0.5000 0.5000 0.5000
Hf1 Hf 0.2726 0.2726 0.1823
Hf2 Hf 0.7274 0.7274 0.8177

***

# CaIn2H (PBE-GGA, optimized geometry)
# * spin magnetization: 0.00 μB/f.u.
# * energy: -2.629 eV per atom
# * space group: I-42d, No. 122
data_CaIn2H
_chemical_formula_sum 'Ca2 In4 H2'
_cell_length_a 6.7111
_cell_length_b 6.7111
_cell_length_c 6.4150
_cell_angle_alpha 58.46
_cell_angle_beta 58.46
_cell_angle_gamma 90.00
_symmetry_space_group_name_H-M 'P 1'
_symmetry_Int_Tables_number 1
loop_
_symmetry_equiv_pos_as_xyz
'x,y,z'
loop_
_atom_site_label
_atom_site_type_symbol
_atom_site_fract_x
_atom_site_fract_y
_atom_site_fract_z
H1 H 0.5000 0.5000 0.0000
H2 H 0.2500 0.7500 0.5000
Ca1 Ca 0.0000 0.0000 0.0000
Ca2 Ca 0.7500 0.2500 0.5000
In1 In 0.4798 0.1250 0.2500
In2 In 0.2702 0.6250 0.2500
In3 In 0.3750 0.5202 0.7500
In4 In 0.8750 0.7298 0.7500

***

# KBTeI2 (PBE-GGA, optimized geometry)
# * spin magnetization: 2.04 μB/f.u.
# * energy: -1.647 eV per atom
# * space group: P4/mmm, No. 123
# * uncorrected formation energy: 1.156 eV per atom
data_KBTeI2
_chemical_formula_sum 'K1 B1 Te1 I2'
_cell_length_a 6.5481
_cell_length_b 6.5481
_cell_length_c 6.4955
_cell_angle_alpha 90.00
_cell_angle_beta 90.00
_cell_angle_gamma 90.00
_symmetry_space_group_name_H-M 'P 1'
_symmetry_Int_Tables_number 1
loop_
_symmetry_equiv_pos_as_xyz
'x,y,z'
loop_
_atom_site_label
_atom_site_type_symbol
_atom_site_fract_x
_atom_site_fract_y
_atom_site_fract_z
I1 I 0.0000 0.5000 0.0000
I2 I 0.5000 0.0000 0.0000
K1 K 0.0000 0.0000 0.0000
Te1 Te 0.0000 0.0000 0.5000
B1 B 0.5000 0.5000 0.5000

***

# PmY5Tl3 (PBE-GGA, optimized geometry)
# * spin magnetization: 1.08 μB/f.u.
# * energy of formation from the pure elements: -0.296 eV/atom
# * energy: -5.204 eV per atom
# * space group: P6_3/mcm, No. 193
data_PmY5Tl3
_chemical_formula_sum 'Pm2 Y10 Tl6'
_cell_length_a 6.7631
_cell_length_b 9.4248
_cell_length_c 9.4243
_cell_angle_alpha 120.00
_cell_angle_beta 90.00
_cell_angle_gamma 90.00
_symmetry_space_group_name_H-M 'P 1'
_symmetry_Int_Tables_number 1
loop_
_symmetry_equiv_pos_as_xyz
'x,y,z'
loop_
_atom_site_label
_atom_site_type_symbol
_atom_site_fract_x
_atom_site_fract_y
_atom_site_fract_z
Pm1 Pm 0.0000 0.0000 0.0000
Pm2 Pm 0.5000 0.0000 0.0000
Y1 Y 0.0000 0.6667 0.3334
Y2 Y 0.5000 0.3333 0.6666
Y3 Y 0.0000 0.3333 0.6666
Y4 Y 0.5000 0.6667 0.3334
Y5 Y 0.7500 0.6708 0.6708
Y6 Y 0.7500 0.0000 0.3292
Y7 Y 0.7500 0.3292 0.0000
Y8 Y 0.2500 0.3292 0.3292
Y9 Y 0.2500 0.0000 0.6708
Y10 Y 0.2500 0.6708 0.0000
Tl1 Tl 0.7500 0.3398 0.3398
Tl2 Tl 0.7500 0.0000 0.6602
Tl3 Tl 0.7500 0.6602 0.0000
Tl4 Tl 0.2500 0.6602 0.6602
Tl5 Tl 0.2500 0.0000 0.3398
Tl6 Tl 0.2500 0.3398 0.0000

***

# ErZnP2 (PBE-GGA, optimized geometry)
# * spin magnetization: 0.00 μB/f.u.
# * energy of formation from the pure elements: -0.404 eV/atom
# * energy: -4.568 eV per atom
# * space group: R-3m, No. 166
data_ErZnP2
_chemical_formula_sum 'Er1 Zn1 P2'
_cell_length_a 4.0567
_cell_length_b 4.0567
_cell_length_c 7.8316
_cell_angle_alpha 74.99
_cell_angle_beta 74.99
_cell_angle_gamma 60.00
_symmetry_space_group_name_H-M 'P 1'
_symmetry_Int_Tables_number 1
loop_
_symmetry_equiv_pos_as_xyz
'x,y,z'
loop_
_atom_site_label
_atom_site_type_symbol
_atom_site_fract_x
_atom_site_fract_y
_atom_site_fract_z
P1 P 0.0989 0.0989 0.7033
P2 P 0.9011 0.9011 0.2967
Zn1 Zn 0.0000 0.0000 0.0000
Er1 Er 0.5000 0.5000 0.5000